(1)
## La3Pm2YAs6 (GGA-PBE)

Data for a relaxed structure of La3Pm2YAs6.

The structure in POSCAR format:
```
La3Pm2YAs6
1.0
-5.940 -3.637 2.585
6.208 0.339 4.067
-2.385 6.989 0.797
La Pm Y As
3 2 1 6
Direct
0.167 0.833 0.500 La
0.833 0.167 0.500 La
0.500 0.500 0.500 La
0.334 0.666 0.000 Pm
0.666 0.334 0.000 Pm
0.000 0.000 0.000 Y
0.920 0.590 0.759 As
0.751 0.751 0.242 As
0.080 0.410 0.241 As
0.590 0.920 0.759 As
0.249 0.249 0.758 As
0.410 0.080 0.241 As
```

## Properties
Formation energy from the elements: -1.550 eV/atom
SG: C2/m
Calculated density: 6.2 g/cm3
DOS at the Fermi energy: 1.187 states/eV/cell


(2)
## La3PrAs3 (GGA-PBE)

Data for a relaxed structure of La3PrAs3.

The structure in POSCAR format:
```
La3PrAs3
1.0
9.195 0.000 0.000
0.000 9.195 0.000
0.000 0.000 9.195
La Pr As
12 4 12
Direct
0.817 0.317 0.183 La
0.933 0.933 0.933 La
0.817 0.683 0.317 La
0.183 0.817 0.317 La
0.183 0.183 0.183 La
0.317 0.817 0.683 La
0.067 0.433 0.567 La
0.317 0.183 0.817 La
0.683 0.317 0.817 La
0.683 0.683 0.683 La
0.567 0.067 0.433 La
0.433 0.567 0.067 La
0.066 0.566 0.934 Pr
0.934 0.066 0.566 Pr
0.434 0.434 0.434 Pr
0.566 0.934 0.066 Pr
0.751 0.626 0.000 As
0.874 0.000 0.251 As
0.000 0.751 0.626 As
0.126 0.500 0.249 As
0.249 0.126 0.500 As
0.251 0.874 0.000 As
0.000 0.251 0.874 As
0.374 0.500 0.749 As
0.500 0.249 0.126 As
0.626 0.000 0.751 As
0.749 0.374 0.500 As
0.500 0.749 0.374 As
```

## Properties
Formation energy from the elements: -1.320 eV/atom
SG: P2_13
Calculated density: 6.7 g/cm3
DOS at the Fermi energy: 33.188 states/eV/cell


(3)
## La2PrAs3 (GGA-PBE)

Data for a relaxed structure of La2PrAs3.

The structure in POSCAR format:
```
La2PrAs3
1.0
-3.675 -2.137 0.958
3.295 -4.928 1.650
0.481 5.778 4.818
La Pr As
2 1 3
Direct
0.833 0.833 0.167 La
0.167 0.167 0.833 La
0.500 0.500 0.500 Pr
0.834 0.334 0.169 As
0.166 0.666 0.831 As
0.500 0.000 0.500 As
```

## Properties
Formation energy from the elements: -1.551 eV/atom
SG: Immm
Calculated density: 6.1 g/cm3
DOS at the Fermi energy: 0.534 states/eV/cell


(4)
## La3Pr5As8 (GGA-PBE)

Data for a relaxed structure of La3Pr5As8.

The structure in POSCAR format:
```
La3Pr5As8
1.0
-5.166 -0.867 6.904
-7.871 -3.516 -0.891
-1.619 -7.877 3.239
La Pr As
3 5 8
Direct
0.500 0.000 0.500 La
0.000 0.000 0.500 La
0.000 0.500 0.500 La
0.500 0.000 0.000 Pr
0.500 0.500 0.000 Pr
0.000 0.000 0.000 Pr
0.000 0.500 0.000 Pr
0.500 0.500 0.500 Pr
0.250 0.250 0.751 As
0.250 0.749 0.751 As
0.749 0.250 0.751 As
0.749 0.749 0.752 As
0.750 0.750 0.249 As
0.750 0.251 0.249 As
0.251 0.750 0.249 As
0.251 0.251 0.248 As
```

## Properties
Formation energy from the elements: -1.528 eV/atom
SG: R-3m
Calculated density: 6.2 g/cm3
DOS at the Fermi energy: 3.216 states/eV/cell